A plane-wave DFT calculation with PBE was carried out for a relaxed structure of CaSc2As.

DOS(E_F), states/eV/f.u.: 5.32
Formation energy, meV per atom: -422
Total magnetic moment, μB/f.u.: 0.0

a b c (Å): 3.469 3.469 8.572
angles (deg): 90.00 90.00 90.00
Space group P4/mmm (No. 123)
Unique sites:
Ca 0.000 0.000 0.000 x1
Sc 0.500 0.500 0.328 x2
As 0.000 0.000 0.500 x1


A plane-wave DFT calculation with PBE was carried out for a relaxed structure of Co2TcBr.

DOS(E_F), states/eV/f.u.: 6.22
Offset from the most stable computed form, meV per atom: 322
Formation energy (no corrections), meV per atom: 835
Total magnetic moment, μB/f.u.: 3.9

a b c (Å): 2.996 4.715 8.489
angles (deg): 90.00 90.00 90.00
Space group Cmm2 (No. 35)
Unique sites:
Co 0.000 0.000 0.000 x2
Co 0.000 0.500 0.210 x2
Tc 0.000 0.000 0.443 x2
Br 0.000 0.500 0.733 x2


A plane-wave DFT calculation with PBE was carried out for a relaxed structure of Sr2AcTaN4.

DOS(E_F), states/eV/f.u.: 0.00
Formation energy (no corrections), meV per atom: -1141
Total magnetic moment, μB/f.u.: 0.0

a b c (Å): 7.853 7.103 5.874
angles (deg): 90.00 90.00 90.00
Space group Pmn2_1 (No. 31)
Unique sites:
Sr 0.245 0.165 0.000 x4
Ac 0.000 0.363 0.502 x2
Ta 0.000 0.678 0.023 x2
N 0.000 0.406 0.942 x2
N 0.000 0.679 0.354 x2
N 0.215 0.807 0.935 x4


A plane-wave DFT calculation with PBE was carried out for a relaxed structure of Ba2CaP.

DOS(E_F), states/eV/f.u.: 2.39
Formation energy, meV per atom: -537
Total magnetic moment, μB/f.u.: 0.7

a b c (Å): 4.390 5.204 14.395
angles (deg): 90.00 90.00 90.00
Space group Amm2 (No. 38)
Unique sites:
Ba 0.000 0.000 0.000 x2
Ba 0.500 0.000 0.324 x2
Ca 0.000 0.000 0.677 x2
P 0.500 0.000 0.548 x2


A plane-wave DFT calculation with PBE was carried out for a relaxed structure of RbSc3Si.

DOS(E_F), states/eV/f.u.: 4.34
Offset from the most stable computed form, meV per atom: 1325
Formation energy (no corrections), meV per atom: 1624
Total magnetic moment, μB/f.u.: 0.0

a b c (Å): 4.950 4.950 4.950
angles (deg): 90.00 90.00 90.00
Space group Pm-3m (No. 221)
Unique sites:
Rb 0.000 0.000 0.000 x1
Sc 0.000 0.000 0.500 x3
Si 0.500 0.500 0.500 x1


A plane-wave DFT calculation with PBE was carried out for a relaxed structure of SbPbS2Cl.

DOS(E_F), states/eV/f.u.: 0.00
Offset from the most stable computed form, meV per atom: 0
Formation energy (no corrections), meV per atom: -533
Total magnetic moment, μB/f.u.: 0.0

a b c (Å): 6.819 5.378 8.714
angles (deg): 90.00 108.34 90.00
Space group P2_1/m (No. 11)
Unique sites:
Sb 0.178 0.250 0.429 x2
Pb 0.218 0.250 0.932 x2
S 0.059 0.750 0.846 x2
S 0.075 0.750 0.415 x2
Cl 0.451 0.750 0.196 x2


A plane-wave DFT calculation with PBE was carried out for a relaxed structure of La3Ce2PaP6.

DOS(E_F), states/eV/f.u.: 14.00
Formation energy, meV per atom: -1508
Total magnetic moment, μB/f.u.: 1.4

a b c (Å): 7.188 12.445 7.218
angles (deg): 90.00 109.38 90.00
Space group C2/m (No. 12)
Unique sites:
La 0.000 0.000 0.000 x2
La 0.000 0.332 0.000 x4
Ce 0.000 0.166 0.500 x4
Pa 0.000 0.500 0.500 x2
P 0.240 0.338 0.733 x8
P 0.246 0.500 0.266 x4


A plane-wave DFT calculation with PBE was carried out for a relaxed structure of GaTe2WI.

DOS(E_F), states/eV/f.u.: 5.96
Offset from the most stable computed form, meV per atom: 0
Formation energy (no corrections), meV per atom: 486
Total magnetic moment, μB/f.u.: 0.6

a b c (Å): 5.269 5.269 5.950
angles (deg): 90.00 90.00 90.00
Space group P4/mmm (No. 123)
Unique sites:
Ga 0.000 0.000 0.000 x1
Te 0.000 0.500 0.500 x2
W 0.500 0.500 0.500 x1
I 0.500 0.500 0.000 x1


A plane-wave DFT calculation with PBE was carried out for a relaxed structure of TlGaAg2.

DOS(E_F), states/eV/f.u.: 1.03
Offset from the most stable computed form, meV per atom: 17
Formation energy, meV per atom: 109
Total magnetic moment, μB/f.u.: 0.0

a b c (Å): 5.669 3.216 9.293
angles (deg): 90.00 102.43 90.00
Space group Cm (No. 8)
Unique sites:
Tl 0.000 0.000 0.000 x2
Ga 0.325 0.500 0.500 x2
Ag 0.235 0.000 0.725 x2
Ag 0.415 0.000 0.276 x2


A plane-wave DFT calculation with PBE was carried out for a relaxed structure of CeGdInPt.

DOS(E_F), states/eV/f.u.: 7.02
Formation energy, meV per atom: -617
Total magnetic moment, μB/f.u.: 6.5

a b c (Å): 7.391 7.391 7.391
angles (deg): 90.00 90.00 90.00
Space group F-43m (No. 216)
Unique sites:
Ce 0.000 0.000 0.000 x4
Gd 0.000 0.000 0.500 x4
In 0.250 0.250 0.250 x4
Pt 0.250 0.250 0.750 x4


A plane-wave DFT calculation with PBE was carried out for a relaxed structure of BaIn2Pt.

DOS(E_F), states/eV/f.u.: 2.64
Formation energy, meV per atom: -554
Total magnetic moment, μB/f.u.: 0.0

a b c (Å): 8.264 4.760 6.617
angles (deg): 90.00 114.72 90.00
Space group Cm (No. 8)
Unique sites:
Ba 0.000 0.000 0.000 x2
In 0.042 0.500 0.623 x2
In 0.296 0.500 0.385 x2
Pt 0.185 0.000 0.551 x2


A plane-wave DFT calculation with PBE was carried out for a relaxed structure of KLi2Os.

DOS(E_F), states/eV/f.u.: 2.25
Offset from the most stable computed form, meV per atom: 0
Formation energy, meV per atom: 569
Total magnetic moment, μB/f.u.: 0.0

a b c (Å): 2.607 4.386 6.895
angles (deg): 90.00 91.11 90.00
Space group P2/m (No. 10)
Unique sites:
K 0.000 0.000 0.000 x1
Li 0.033 0.500 0.663 x2
Os 0.500 0.000 0.500 x1


A plane-wave DFT calculation with PBE was carried out for a relaxed structure of YZnNi2.

DOS(E_F), states/eV/f.u.: 2.60
Formation energy, meV per atom: -144
Total magnetic moment, μB/f.u.: 0.0

a b c (Å): 3.360 3.360 5.736
angles (deg): 90.00 90.00 90.00
Space group P4mm (No. 99)
Unique sites:
Y 0.000 0.000 0.000 x1
Zn 0.500 0.500 0.337 x1
Ni 0.000 0.000 0.507 x1
Ni 0.500 0.500 0.750 x1


A plane-wave DFT calculation with PBE was carried out for a relaxed structure of TlPClO4.

DOS(E_F), states/eV/f.u.: 4.74
Formation energy (no corrections), meV per atom: -1147
Total magnetic moment, μB/f.u.: 1.1

a b c (Å): 9.675 7.291 6.579
angles (deg): 90.00 99.28 90.00
Space group C2/m (No. 12)
Unique sites:
Tl 0.244 0.000 0.145 x4
P 0.140 0.500 0.261 x4
Cl 0.012 0.000 0.254 x4
O 0.021 0.500 0.772 x4
O 0.194 0.500 0.492 x4
O 0.198 0.334 0.147 x8


A plane-wave DFT calculation with PBE was carried out for a relaxed structure of RbSrCd.

DOS(E_F), states/eV/f.u.: 3.63
Offset from the most stable computed form, meV per atom: 0
Formation energy, meV per atom: -49
Total magnetic moment, μB/f.u.: 0.0

a b c (Å): 4.306 4.306 15.828
angles (deg): 90.00 90.00 90.00
Space group I4mm (No. 107)
Unique sites:
Rb 0.000 0.000 0.000 x2
Sr 0.000 0.000 0.266 x2
Cd 0.000 0.000 0.663 x2


A plane-wave DFT calculation with PBE was carried out for a relaxed structure of BaAc2RuN4.

DOS(E_F), states/eV/f.u.: 7.17
Formation energy (no corrections), meV per atom: -574
Total magnetic moment, μB/f.u.: 0.0

a b c (Å): 3.763 12.895 12.987
angles (deg): 90.00 90.00 90.00
Space group Cmcm (No. 63)
Unique sites:
Ba 0.000 0.096 0.250 x4
Ac 0.000 0.368 0.042 x8
Ru 0.000 0.178 0.750 x4
N 0.000 0.000 0.000 x4
N 0.000 0.261 0.627 x8
N 0.000 0.388 0.250 x4


A plane-wave DFT calculation with PBE was carried out for a relaxed structure of Sr2TlPbO4.

DOS(E_F), states/eV/f.u.: 4.41
Formation energy (no corrections), meV per atom: -1707
Total magnetic moment, μB/f.u.: 0.0

a b c (Å): 7.323 7.413 10.480
angles (deg): 90.00 90.00 90.00
Space group Imma (No. 74)
Unique sites:
Sr 0.000 0.000 0.000 x4
Sr 0.250 0.250 0.250 x4
Tl 0.000 0.000 0.500 x4
Pb 0.250 0.250 0.750 x4
O 0.000 0.009 0.242 x8
O 0.242 0.250 0.004 x8


A plane-wave DFT calculation with PBE was carried out for a relaxed structure of Mg4Rh.

DOS(E_F), states/eV/f.u.: 2.27
Formation energy, meV per atom: -11
Total magnetic moment, μB/f.u.: 0.0

a b c (Å): 4.952 4.952 4.952
angles (deg): 90.00 90.00 90.00
Space group Pm-3m (No. 221)
Unique sites:
Mg 0.000 0.000 0.000 x1
Mg 0.000 0.500 0.500 x3
Rh 0.500 0.500 0.500 x1


A plane-wave DFT calculation with PBE was carried out for a relaxed structure of Cl.

DOS(E_F), states/eV/f.u.: 0.00
Offset from the most stable computed form, meV per atom: 52
Formation energy (no corrections), meV per atom: 52
Total magnetic moment, μB/f.u.: 0.0

a b c (Å): 7.347 13.685 14.706
angles (deg): 90.00 90.00 90.00
Space group Fddd (No. 70, origin choice 2)
Unique sites:
Cl 0.125 0.125 0.375 x16
Cl 0.125 0.276 0.125 x16


A plane-wave DFT calculation with PBE was carried out for a relaxed structure of Ga2CoAu.

DOS(E_F), states/eV/f.u.: 1.60
Offset from the most stable computed form, meV per atom: 0
Formation energy, meV per atom: -135
Total magnetic moment, μB/f.u.: 0.5

a b c (Å): 2.865 2.865 7.198
angles (deg): 90.00 90.00 90.00
Space group P4/mmm (No. 123)
Unique sites:
Ga 0.000 0.000 0.205 x2
Co 0.500 0.500 0.000 x1
Au 0.500 0.500 0.500 x1


A plane-wave DFT calculation with PBE was carried out for a relaxed structure of TbNb3Ge2.

DOS(E_F), states/eV/f.u.: 3.91
Formation energy, meV per atom: -409
Total magnetic moment, μB/f.u.: 0.0

a b c (Å): 14.719 4.390 8.573
angles (deg): 90.00 118.38 90.00
Space group C2/m (No. 12)
Unique sites:
Tb 0.146 0.000 0.065 x4
Nb 0.048 0.000 0.368 x4
Nb 0.079 0.500 0.667 x4
Nb 0.185 0.500 0.472 x4
Ge 0.020 0.500 0.154 x4
Ge 0.197 0.000 0.718 x4


A plane-wave DFT calculation with PBE was carried out for a relaxed structure of CsK2CeCl8.

DOS(E_F), states/eV/f.u.: 1.48
Formation energy (no corrections), meV per atom: -1815
Total magnetic moment, μB/f.u.: 0.0

a b c (Å): 5.668 7.403 9.727
angles (deg): 90.06 106.63 90.33
Space group P-1 (No. 2)
Unique sites:
Cs 0.000 0.000 0.000 x1
K 0.345 0.490 0.700 x2
Ce 0.500 0.000 0.500 x1
Cl 0.188 0.244 0.362 x2
Cl 0.204 0.724 0.401 x2
Cl 0.246 0.500 0.000 x2
Cl 0.382 0.032 0.743 x2


A plane-wave DFT calculation with PBE was carried out for a relaxed structure of EuLuGaHg.

DOS(E_F), states/eV/f.u.: 4.85
Formation energy, meV per atom: -466
Total magnetic moment, μB/f.u.: 7.0

a b c (Å): 7.409 7.409 7.409
angles (deg): 90.00 90.00 90.00
Space group F-43m (No. 216)
Unique sites:
Eu 0.000 0.000 0.000 x4
Lu 0.000 0.000 0.500 x4
Ga 0.250 0.250 0.750 x4
Hg 0.250 0.250 0.250 x4


A plane-wave DFT calculation with PBE was carried out for a relaxed structure of Ac2InSiPd6.

DOS(E_F), states/eV/f.u.: 4.94
Formation energy (no corrections), meV per atom: -737
Total magnetic moment, μB/f.u.: 0.0

a b c (Å): 5.725 6.537 7.178
angles (deg): 76.25 66.52 64.04
Space group P-1 (No. 2)
Unique sites:
Ac 0.250 0.224 0.276 x2
In 0.500 0.500 0.500 x1
Si 0.000 0.000 0.000 x1
Pd 0.242 0.237 0.773 x2
Pd 0.246 0.612 0.895 x2
Pd 0.253 0.762 0.227 x2